[1]
{
  "formula": "BeHgAsN2",
  "functional": "PBEsol",
  "state": "optimized geometry",
  "lattice_angstrom": [[3.6242, 0.0000, 0.0000], [0.0000, 3.6242, 0.0000], [0.0000, 0.0000, 5.9908]],
  "species": ["Be", "Hg", "As", "N", "N"],
  "frac_coords": [[0.0000, 0.0000, 0.0000], [0.5000, 0.5000, 0.0000], [0.5000, 0.5000, 0.5000], [0.0000, 0.5000, 0.5000], [0.5000, 0.0000, 0.5000]],
  "formation_energy_uncorrected_ev_per_fu": 6.94
}



[2]
{
  "formula": "Cr2FeAgGe",
  "functional": "PBEsol",
  "state": "optimized geometry",
  "lattice_angstrom": [[4.1735, 0.0000, 0.0000], [0.0000, 4.1735, 0.0000], [0.0000, 0.0000, 4.7592]],
  "species": ["Cr", "Cr", "Fe", "Ag", "Ge"],
  "frac_coords": [[0.0000, 0.5000, 0.0000], [0.5000, 0.0000, 0.0000], [0.0000, 0.0000, 0.0000], [0.0000, 0.0000, 0.5000], [0.5000, 0.5000, 0.5000]],
  "energy_ev_per_atom": -6.45
}



[3]
{
  "formula": "Cs2PtCl4",
  "functional": "PBEsol",
  "state": "optimized geometry",
  "lattice_angstrom": [[7.2886, 0.0000, 0.0000], [0.0000, 7.2886, 0.0000], [0.0000, 0.0000, 4.6798]],
  "species": ["Cs", "Cs", "Pt", "Cl", "Cl", "Cl", "Cl"],
  "frac_coords": [[0.0000, 0.5000, 0.0000], [0.5000, 0.0000, 0.0000], [0.0000, 0.0000, 0.5000], [0.2227, 0.2227, 0.5000], [0.2227, 0.7773, 0.5000], [0.7773, 0.2227, 0.5000], [0.7773, 0.7773, 0.5000]],
  "formation_energy_uncorrected_ev_per_fu": -9.52
}



[4]
{
  "formula": "P2PtSe2",
  "functional": "PBEsol",
  "state": "optimized geometry",
  "lattice_angstrom": [[1.8307, -5.0681, 0.0000], [1.8307, 5.0681, 0.0000], [0.0000, 0.0000, 10.7655]],
  "species": ["P", "P", "P", "P", "Pt", "Pt", "Se", "Se", "Se", "Se"],
  "frac_coords": [[0.0926, 0.9074, 0.5000], [0.1496, 0.8504, 0.2450], [0.8504, 0.1496, 0.7450], [0.9074, 0.0926, 0.0000], [0.2968, 0.7032, 0.8813], [0.7032, 0.2968, 0.3813], [0.0744, 0.9256, 0.7195], [0.3188, 0.6812, 0.5119], [0.6812, 0.3188, 0.0119], [0.9256, 0.0744, 0.2195]],
  "formation_energy_uncorrected_ev_per_fu": -0.05
}